# Ta4Tc5Mo

Crystalline Ta4Tc5Mo at its relaxed geometry (PBE, Alexandria).

Calculated values
Calculated total energy = -11.384 eV/atom

abc: 3.1741 3.1741 15.8951
angles: 90.00 90.00 90.00
Last column: nearest neighbours and their distance in Å.
Atoms (fractional coordinates):
1 Ta 0.0000 0.0000 0.1990  8 Tc 2.75-2.76
2 Ta 0.0000 0.0000 0.3998  8 Tc 2.75-2.76
3 Ta 0.0000 0.0000 0.6002  8 Tc 2.75-2.76
4 Ta 0.0000 0.0000 0.8010  8 Tc 2.75-2.76
5 Tc 0.5000 0.5000 0.0985  4 Mo 2.74, 4 Ta 2.76
6 Tc 0.5000 0.5000 0.2986  8 Ta 2.75-2.76
7 Tc 0.5000 0.5000 0.5000  8 Ta 2.75
8 Tc 0.5000 0.5000 0.7014  8 Ta 2.75-2.76
9 Tc 0.5000 0.5000 0.9015  4 Mo 2.74, 4 Ta 2.76
10 Mo 0.0000 0.0000 0.0000  8 Tc 2.74


# SnHg3N

Crystalline SnHg3N at its relaxed geometry (PBE, Alexandria).

Calculated values
Distance to the lowest polymorph of the same formula = 0.0 kJ per mole of atoms
Formation energy (no corrections) = 4.2 eV per formula unit

abc: 4.8410 4.8410 4.8410
angles: 90.00 90.00 90.00
Last column: nearest neighbours and their distance in Å.
Atoms (fractional coordinates):
1 N 0.0000 0.0000 0.0000  6 Hg 2.42
2 Hg 0.0000 0.5000 0.0000  2 N 2.42
3 Hg 0.0000 0.0000 0.5000  2 N 2.42
4 Hg 0.5000 0.0000 0.0000  2 N 2.42
5 Sn 0.5000 0.5000 0.5000  12 Hg 3.42


# Li5TlPd3

Crystalline Li5TlPd3 at its relaxed geometry (PBE, Alexandria).

Calculated values
Calculated total energy = -3.296 eV/atom

abc: 7.7691 7.7691 9.1614
angles: 53.66 53.66 72.53
Last column: nearest neighbours and their distance in Å.
Atoms (fractional coordinates):
1 Li 0.9245 0.4008 0.2885  3 Pd 2.46-2.67
2 Li 0.2656 0.7344 0.0000  3 Pd 2.44-2.57
3 Li 0.8262 0.8262 0.9356  4 Pd 2.63-2.81, 3 Li 2.76-2.93, 1 Tl 2.89
4 Li 0.5018 0.5018 0.2492  4 Pd 2.62-2.75, 1 Li 2.76, 1 Tl 2.85
5 Li 0.4982 0.4982 0.7508  4 Pd 2.62-2.75, 1 Li 2.76, 1 Tl 2.85
6 Li 0.1738 0.1738 0.0644  4 Pd 2.63-2.81, 3 Li 2.76-2.93, 1 Tl 2.89
7 Li 0.4008 0.9245 0.2885  3 Pd 2.46-2.67
8 Li 0.7344 0.2656 0.0000  3 Pd 2.44-2.57
9 Li 0.0755 0.5992 0.7115  3 Pd 2.46-2.67
10 Li 0.5992 0.0755 0.7115  3 Pd 2.46-2.67
11 Tl 0.1662 0.1662 0.5823  4 Pd 2.69-2.73, 2 Li 2.85-2.89
12 Tl 0.8338 0.8338 0.4177  4 Pd 2.69-2.73, 2 Li 2.85-2.89
13 Pd 0.6643 0.6643 0.8417  7 Li 2.57-2.75, 1 Tl 2.73, 2 Pd 2.79-2.85
14 Pd 0.6597 0.6597 0.3447  5 Li 2.46-2.69, 1 Tl 2.71, 1 Pd 2.71
15 Pd 0.0000 0.0000 0.0000  4 Li 2.44-2.64, 2 Tl 2.70
16 Pd 0.0000 0.0000 0.5000  6 Li 2.63-2.81, 2 Tl 2.69, 2 Pd 2.85
17 Pd 0.3357 0.3357 0.1583  7 Li 2.57-2.75, 1 Tl 2.73, 2 Pd 2.79-2.85
18 Pd 0.3403 0.3403 0.6553  5 Li 2.46-2.69, 1 Tl 2.71, 1 Pd 2.71


# KZrIn

Crystalline KZrIn at its relaxed geometry (PBE, Alexandria).

Calculated values
Distance to the lowest polymorph of the same formula = 31.2 kJ per mole of atoms

abc: 14.6884 6.1016 6.1016
angles: 126.78 141.64 38.36
Last column: nearest neighbours and their distance in Å.
Atoms (fractional coordinates):
1 K 0.5785 0.2557 0.7443  3 K 3.49-3.65, 3 In 3.60-3.61
2 K 0.4215 0.7443 0.2557  3 K 3.49-3.65, 3 In 3.60-3.61
3 Zr 0.0000 0.7513 0.7513  2 Zr 2.72-2.75
4 Zr 0.0000 0.2487 0.2487  2 Zr 2.72-2.75
5 In 0.9100 0.3569 0.6431  2 In 3.01, 4 Zr 3.11-3.12
6 In 0.0900 0.6431 0.3569  2 In 3.01, 4 Zr 3.11-3.12


# K2HgI5

Crystalline K2HgI5 at its relaxed geometry (PBE, Alexandria).

Calculated values
Formation energy (no corrections) = -5.9 eV per formula unit

abc: 6.8324 9.0210 14.0198
angles: 90.00 90.00 112.25
Last column: nearest neighbours and their distance in Å.
Atoms (fractional coordinates):
1 K 0.8244 0.6489 0.4078  6 I 3.44-3.61
2 K 0.8244 0.6489 0.0922  6 I 3.44-3.61
3 K 0.1756 0.3511 0.5922  6 I 3.44-3.61
4 K 0.1756 0.3511 0.9078  6 I 3.44-3.61
5 Hg 0.8289 0.6578 0.7500  4 I 2.92-3.01
6 Hg 0.1711 0.3422 0.2500  4 I 2.92-3.01
7 I 0.9627 0.9255 0.8941  1 Hg 3.01, 1 I 3.22
8 I 0.9627 0.9255 0.6059  1 Hg 3.01, 1 I 3.22
9 I 0.2972 0.5944 0.3944  1 Hg 2.92
10 I 0.2972 0.5944 0.1056  1 Hg 2.92
11 I 0.6659 0.3318 0.2500  2 Hg 3.42, 2 K 3.45
12 I 0.3341 0.6682 0.7500  2 Hg 3.42, 2 K 3.45
13 I 0.7028 0.4056 0.6056  1 Hg 2.92
14 I 0.7028 0.4056 0.8944  1 Hg 2.92
15 I 0.0373 0.0745 0.1059  1 Hg 3.01, 1 I 3.22
16 I 0.0373 0.0745 0.3941  1 Hg 3.01, 1 I 3.22


# TiSNF2

Crystalline TiSNF2 at its relaxed geometry (PBE, Alexandria).

Calculated values
Distance to the lowest polymorph of the same formula = 0.0 kJ per mole of atoms
Formation energy (no corrections) = -5.1 eV per formula unit

abc: 3.8334 3.8334 4.2445
angles: 90.00 90.00 90.00
Last column: nearest neighbours and their distance in Å.
Atoms (fractional coordinates):
1 N 0.0000 0.0000 0.5000  2 Ti 2.12
2 S 0.5000 0.5000 0.5000  4 N 2.71, 8 F 2.86
3 F 0.0000 0.5000 0.0000  2 Ti 1.92
4 F 0.5000 0.0000 0.0000  2 Ti 1.92
5 Ti 0.0000 0.0000 0.0000  4 F 1.92, 2 N 2.12


# Pm4SiBBr2

Crystalline Pm4SiBBr2 at its relaxed geometry (PBE, Alexandria).

Calculated values
Formation energy (no corrections) = -7.2 eV per formula unit

abc: 4.0986 7.2098 7.6306
angles: 107.98 90.00 90.00
Last column: nearest neighbours and their distance in Å.
Atoms (fractional coordinates):
1 Pm 0.5000 0.2542 0.2054  1 B 2.70, 2 Si 2.87
2 Pm 0.5000 0.7458 0.7946  1 B 2.70, 2 Si 2.87
3 Pm 0.0000 0.2848 0.8041  2 B 2.72, 1 Si 2.89
4 Pm 0.0000 0.7152 0.1959  2 B 2.72, 1 Si 2.89
5 Si 0.0000 0.0000 0.0000  6 Pm 2.87-2.89
6 B 0.5000 0.5000 0.0000  6 Pm 2.70-2.72
7 Br 0.5000 0.0000 0.5000  6 Pm 3.30-3.31
8 Br 0.0000 0.5000 0.5000  6 Pm 3.15-3.16


# Ba2Al4CuSi3

Crystalline Ba2Al4CuSi3 at its relaxed geometry (PBE, Alexandria).

Calculated values
Formation energy (no corrections) = -2.4 eV per formula unit

abc: 4.5354 4.5354 10.4935
angles: 90.00 90.00 90.00
Last column: nearest neighbours and their distance in Å.
Atoms (fractional coordinates):
1 Ba 0.5000 0.0000 0.2559  2 Cu 3.42, 6 Si 3.42-3.48, 9 Al 3.48-3.78
2 Ba 0.0000 0.5000 0.7441  2 Cu 3.42, 6 Si 3.42-3.48, 9 Al 3.48-3.78
3 Al 0.5000 0.5000 0.0000  4 Si 2.62
4 Al 0.0000 0.0000 0.0000  4 Si 2.62
5 Al 0.5000 0.0000 0.6161  2 Cu 2.57, 3 Si 2.57-2.71
6 Al 0.0000 0.5000 0.3839  2 Cu 2.57, 3 Si 2.57-2.71
7 Cu 0.5000 0.5000 0.5000  4 Al 2.57
8 Si 0.0000 0.0000 0.5000  4 Al 2.57
9 Si 0.5000 0.0000 0.8740  5 Al 2.62-2.71
10 Si 0.0000 0.5000 0.1260  5 Al 2.62-2.71


# Sc4TlIr

Crystalline Sc4TlIr at its relaxed geometry (PBE, Alexandria).

Calculated values
Distance to the lowest polymorph of the same formula = 70.8 kJ per mole of atoms

abc: 5.5990 5.5990 5.5990
angles: 60.00 60.00 60.00
Last column: nearest neighbours and their distance in Å.
Atoms (fractional coordinates):
1 Sc 0.8799 0.3734 0.3734  6 Sc 2.76-2.84
2 Sc 0.3734 0.3734 0.8799  6 Sc 2.76-2.84
3 Sc 0.3734 0.8799 0.3734  6 Sc 2.76-2.84
4 Sc 0.3734 0.3734 0.3734  6 Sc 2.76-2.84
5 Tl 0.7500 0.7500 0.7500  12 Sc 3.29, 4 Ir 3.43
6 Ir 0.0000 0.0000 0.0000  12 Sc 3.28, 4 Tl 3.43


# Pm2Pr6Er

Crystalline Pm2Pr6Er at its relaxed geometry (PBE, Alexandria).

Calculated values
Distance to the lowest polymorph of the same formula = 1.7 kJ per mole of atoms

abc: 3.6885 10.2175 10.2175
angles: 55.90 90.00 90.00
Last column: nearest neighbours and their distance in Å.
Atoms (fractional coordinates):
1 Pm 0.5000 0.1745 0.1745  8 Pr 3.63-3.82, 2 Er 3.65, 2 Pm 3.69
2 Pm 0.5000 0.8255 0.8255  8 Pr 3.63-3.82, 2 Er 3.65, 2 Pm 3.69
3 Pr 0.0000 0.5100 0.1607  6 Pr 3.35-3.69, 2 Pm 3.63
4 Pr 0.0000 0.8393 0.4900  6 Pr 3.35-3.69, 2 Pm 3.63
5 Pr 0.0000 0.4900 0.8393  6 Pr 3.35-3.69, 2 Pm 3.63
6 Pr 0.5000 0.6852 0.3148  7 Pr 3.50-3.69, 2 Er 3.53
7 Pr 0.0000 0.1607 0.5100  6 Pr 3.35-3.69, 2 Pm 3.63
8 Pr 0.5000 0.3148 0.6852  7 Pr 3.50-3.69, 2 Er 3.53
9 Er 0.0000 0.0000 0.0000  4 Pr 3.53, 4 Pm 3.65, 2 Er 3.69


# SmErI

Crystalline SmErI at its relaxed geometry (PBE, Alexandria).

Calculated values
Distance to the lowest polymorph of the same formula = 0.0 kJ per mole of atoms
Formation energy (no corrections) = -1.6 eV per formula unit

abc: 3.8441 3.8441 7.6157
angles: 90.00 90.00 120.00
Last column: nearest neighbours and their distance in Å.
Atoms (fractional coordinates):
1 I 0.6667 0.3333 0.3288  3 Er 3.29, 3 Sm 3.37
2 Sm 0.3333 0.6667 0.6611  3 I 3.37, 3 Er 3.46
3 Er 0.0000 0.0000 0.0101  3 I 3.29, 3 Sm 3.46


# YB2C2

Crystalline YB2C2 at its relaxed geometry (PBE, Alexandria).

Calculated values
Calculated total energy = -6.786 eV/atom

abc: 3.5554 3.5554 5.9082
angles: 90.00 90.00 120.00
Last column: nearest neighbours and their distance in Å.
Atoms (fractional coordinates):
1 Y 0.0000 0.0000 0.0000  6 C 2.45
2 B 0.6667 0.3333 0.5345  1 C 1.42
3 B 0.3333 0.6667 0.4655  1 C 1.42
4 C 0.6667 0.3333 0.7751  1 B 1.42
5 C 0.3333 0.6667 0.2249  1 B 1.42